PBE KCu2Te, relaxed; DFT total energy = -2.79 eV per atom; volume = 22.269 A^3/atom; E_form (uncorrected) = 319 meV/atom; space group = P4/mmm, No. 123
1.0
4.538 0.609 0.000
-0.610 4.538 0.000
0.000 0.000 4.249
Cu K Te
2 1 1
Direct
0.000 0.000 0.000
0.500 0.500 0.000
0.500 0.000 0.500
0.000 0.500 0.500


PBE KCuTe2, relaxed; DFT total energy = -2.94 eV per atom; volume = 30.094 A^3/atom; E_form (uncorrected) = -72 meV/atom; space group = Imm2, No. 44
1.0
-6.040 -1.060 2.043
-0.724 -4.398 4.681
2.860 5.579 -1.574
Cu K Te
1 1 2
Direct
0.568 0.568 0.000
0.255 0.755 0.500
0.957 0.957 0.000
0.721 0.221 0.500


PBE KCuTe, relaxed; DFT total energy = -3.03 eV per atom; volume = 45.929 A^3/atom; E_form (uncorrected) = -254 meV/atom; space group = Fmm2, No. 42
1.0
-4.807 3.987 -1.643
-7.273 1.291 2.363
-1.371 1.758 4.942
Cu K Te
1 1 1
Direct
0.056 0.056 0.944
0.329 0.329 0.671
0.615 0.615 0.385


PBE KCu3Te3, relaxed; DFT total energy = -3.56 eV per atom; volume = 28.027 A^3/atom; E above lowest polymorph = 0.0000 eV per atom; E_form (uncorrected) = -297 meV/atom; space group = R-3, No. 148
1.0
-1.260 -1.120 -6.894
-5.439 -4.100 -1.993
-7.602 5.475 -3.154
K Cu Te
2 6 6
Direct
0.334 0.334 0.999
0.666 0.666 0.001
0.477 0.802 0.581
0.802 0.140 0.581
0.140 0.477 0.581
0.860 0.523 0.419
0.198 0.860 0.419
0.523 0.198 0.419
0.231 0.573 0.292
0.903 0.231 0.292
0.573 0.903 0.292
0.427 0.097 0.708
0.097 0.769 0.708
0.769 0.427 0.708


PBE KCu2Te, relaxed; DFT total energy = -2.69 eV per atom; volume = 22.820 A^3/atom; E_form (uncorrected) = 420 meV/atom; space group = C2/m, No. 12
1.0
6.097 -0.036 0.008
-2.428 5.593 0.008
0.809 1.226 2.687
Cu K Te
2 1 1
Direct
0.000 0.000 0.000
0.500 0.500 0.000
0.500 0.000 0.500
0.000 0.500 0.500


PBE KCuTe2, relaxed; DFT total energy = -3.34 eV per atom; volume = 30.336 A^3/atom; E_form (uncorrected) = -475 meV/atom; space group = P4/nmm, No. 129
1.0
-4.087 -0.426 1.460
1.517 -0.850 3.999
-0.310 12.457 2.765
K Cu Te
2 2 4
Direct
0.000 0.500 0.261
0.500 0.000 0.739
0.500 0.500 0.000
0.000 0.000 0.000
0.500 0.000 0.121
0.000 0.500 0.879
0.000 0.000 0.500
0.500 0.500 0.500


PBE KCuTe2, relaxed; DFT total energy = -3.29 eV per atom; volume = 36.267 A^3/atom; E_form (uncorrected) = -416 meV/atom; space group = Cm, No. 8
1.0
-4.293 -1.187 -5.519
-5.761 -3.306 -2.486
-5.682 2.986 -0.664
Cu K Te
1 1 2
Direct
0.408 0.408 0.463
0.294 0.294 0.149
0.027 0.027 0.177
0.770 0.770 0.711


PBE KCu2Te, relaxed; DFT total energy = -2.74 eV per atom; volume = 22.604 A^3/atom; E_form (uncorrected) = 365 meV/atom; space group = F-43m, No. 216
1.0
-2.612 2.049 -3.789
0.813 -1.523 -4.733
-3.495 -2.714 -2.408
Cu K Te
2 1 1
Direct
0.000 0.000 0.000
0.250 0.250 0.250
0.500 0.500 0.500
0.750 0.750 0.750


PBE KCu2Te, relaxed; DFT total energy = -3.05 eV per atom; volume = 23.680 A^3/atom; E_form (uncorrected) = 62 meV/atom; space group = Pm, No. 6
1.0
3.922 0.000 0.000
0.000 3.223 0.099
0.000 1.355 7.535
Cu K Te
2 1 1
Direct
0.000 0.780 0.064
0.500 0.247 0.131
0.000 0.569 0.486
0.500 0.903 0.819


PBE KCu6Te8, relaxed; DFT total energy = -3.41 eV per atom; volume = 24.992 A^3/atom; E_form (uncorrected) = -21 meV/atom; space group = R-3, No. 148
1.0
7.212 0.411 0.425
0.186 7.221 0.425
0.186 0.192 7.231
K Cu Te
1 6 8
Direct
0.000 0.000 0.000
0.597 0.430 0.754
0.430 0.754 0.597
0.754 0.597 0.430
0.403 0.570 0.246
0.570 0.246 0.403
0.246 0.403 0.570
0.751 0.751 0.751
0.249 0.249 0.249
0.556 0.893 0.251
0.893 0.251 0.556
0.251 0.556 0.893
0.444 0.107 0.749
0.107 0.749 0.444
0.749 0.444 0.107


PBE KCuTe2, relaxed; DFT total energy = -3.12 eV per atom; volume = 28.706 A^3/atom; E_form (uncorrected) = -255 meV/atom; space group = C2/m, No. 12
1.0
-2.168 -0.720 3.187
0.788 -3.126 2.233
4.933 3.458 6.562
Cu K Te
1 1 2
Direct
0.750 0.750 0.750
0.250 0.250 0.250
0.023 0.023 0.929
0.477 0.477 0.571


PBE KCuTe2, relaxed; DFT total energy = -3.27 eV per atom; volume = 34.372 A^3/atom; E_form (uncorrected) = -397 meV/atom; space group = P2/c, No. 13
1.0
6.771 0.000 0.000
0.000 6.871 0.908
0.000 0.878 11.938
K Cu Te
4 4 8
Direct
0.242 0.948 0.364
0.758 0.052 0.636
0.242 0.552 0.136
0.758 0.448 0.864
0.128 0.621 0.624
0.872 0.379 0.376
0.128 0.879 0.876
0.872 0.121 0.124
0.794 0.924 0.972
0.206 0.076 0.028
0.794 0.576 0.528
0.206 0.424 0.472
0.745 0.454 0.168
0.255 0.546 0.832
0.745 0.046 0.332
0.255 0.954 0.668


PBE KCu2Te2, relaxed; DFT total energy = -3.39 eV per atom; volume = 26.489 A^3/atom; E_form (uncorrected) = -277 meV/atom; space group = P4/mmm, No. 123
1.0
-1.866 1.506 3.275
2.572 -2.028 2.398
5.001 6.292 -0.042
K Cu Te
1 2 2
Direct
0.000 0.000 0.000
0.500 0.000 0.500
0.000 0.500 0.500
0.500 0.500 0.720
0.500 0.500 0.280


PBE KCuTe2, relaxed; DFT total energy = -3.07 eV per atom; volume = 39.998 A^3/atom; E_form (uncorrected) = -197 meV/atom; space group = Cmmm, No. 65
1.0
5.054 -0.131 0.000
-3.346 3.790 0.000
0.000 0.000 8.549
Cu K Te
1 1 2
Direct
0.500 0.500 0.250
0.500 0.500 0.750
0.000 0.000 0.065
0.000 0.000 0.435


PBE KCu2Te, relaxed; DFT total energy = -3.16 eV per atom; volume = 29.454 A^3/atom; E_form (uncorrected) = -52 meV/atom; space group = I4_1/amd, No. 141
1.0
-2.274 3.778 2.526
-3.441 -3.277 1.803
2.472 -1.371 9.389
K Te Cu
2 2 4
Direct
0.500 0.500 0.000
0.250 0.750 0.500
0.000 0.000 0.000
0.750 0.250 0.500
0.875 0.125 0.250
0.875 0.625 0.250
0.375 0.125 0.750
0.875 0.125 0.750


PBE KCuTe2, relaxed; DFT total energy = -3.02 eV per atom; volume = 29.215 A^3/atom; E_form (uncorrected) = -153 meV/atom; space group = Pmm2, No. 25
1.0
-2.084 0.949 -5.135
2.449 -1.819 -1.330
-3.537 -5.126 0.487
Cu K Te
1 1 2
Direct
0.000 0.250 0.456
0.500 0.750 0.833
0.000 0.250 0.870
0.500 0.250 0.341


PBE KCuTe3, relaxed; DFT total energy = -3.17 eV per atom; volume = 30.393 A^3/atom; E above lowest polymorph = 0.0824 eV per atom; E_form (uncorrected) = -243 meV/atom; space group = R3m, No. 160
1.0
-1.704 -6.587 -0.910
6.114 -3.118 0.092
0.281 -2.479 6.394
K Cu Te
2 2 6
Direct
0.744 0.744 0.744
0.244 0.244 0.244
0.994 0.994 0.994
0.494 0.494 0.494
0.244 0.745 0.245
0.245 0.244 0.745
0.745 0.245 0.244
0.744 0.745 0.245
0.745 0.245 0.744
0.245 0.744 0.745


PBE KCuTe2, relaxed; DFT total energy = -3.22 eV per atom; volume = 33.193 A^3/atom; E_form (uncorrected) = -350 meV/atom; space group = Immm, No. 71
1.0
6.430 -0.100 0.027
2.036 6.099 -0.027
-3.230 -4.415 3.380
Cu K Te
1 1 2
Direct
0.750 0.250 0.500
0.250 0.750 0.500
0.908 0.908 0.000
0.592 0.592 0.000


PBE KCuTe, relaxed; DFT total energy = -3.38 eV per atom; volume = 29.587 A^3/atom; E_form (uncorrected) = -598 meV/atom; space group = P6_3/mmc, No. 194
1.0
-2.363 -3.802 0.028
4.410 -0.100 0.763
-1.709 1.137 10.021
K Te Cu
2 2 2
Direct
0.000 0.000 0.000
0.000 0.000 0.500
0.333 0.667 0.750
0.667 0.333 0.250
0.667 0.333 0.750
0.333 0.667 0.250


PBE KCuTe3, relaxed; DFT total energy = -1.75 eV per atom; volume = 41.373 A^3/atom; E above lowest polymorph = 1.5026 eV per atom; E_form (uncorrected) = 1177 meV/atom; space group = Pm-3m, No. 221
1.0
5.914 0.000 0.000
0.000 5.914 0.000
0.000 0.000 5.914
K Te Cu
1 3 1
Direct
0.000 0.000 0.000
0.000 0.500 0.000
0.000 0.000 0.500
0.500 0.000 0.000
0.500 0.500 0.500